First-principles (PBE-GGA) data for a relaxed structure of PmBIr, as listed in OQMD via LeMat-Bulk.

Values from the calculation:
* final energy: -19.94 eV per cell
* volume: 53 Å³/cell

Structure (POSCAR):
```
PmBIr
1.0
0.000 2.986 2.986
2.986 0.000 2.986
2.986 2.986 0.000
Pm B Ir
1 1 1
direct
0.000 0.000 0.000
0.750 0.750 0.750
0.500 0.500 0.500
```